The following is a DFT calculation (GGA-PBE) of a relaxed Be3TlS crystal.

a b c (Å): 4.5698 4.5698 4.5698
angles (deg): 90.00 90.00 90.00
Sites, in units of the cell vectors:
Be  0.5000  0.0000  0.0000
Tl  0.0000  0.0000  0.0000
Be  0.0000  0.0000  0.5000
S  0.5000  0.5000  0.5000
Be  0.0000  0.5000  0.0000

## Properties
SG   No. 221
VASP energy   -2.329 eV per atom
ΔE_f (raw)   1.21 eV/atom
Excess energy over the best structure of this formula in the dataset   506.2 meV/atom